1.
The following is a PBE calculation of a relaxed CoSi2Br crystal, from the Alexandria database.

a = 3.550 Å, b = 3.550 Å, c = 5.339 Å
α = 90.00°, β = 90.00°, γ = 90.00°
Atoms (fractional coordinates):
Co: 0.000 0.000 0.000
Si: 0.000 0.500 0.500
Si: 0.500 0.000 0.500
Br: 0.500 0.500 0.000

Computed properties:
As for the energy above the most stable polymorph in this dataset: 0.5994 eV per atom. The total moment comes out at 0.33 μB/atom. Its space group is P4/mmm. The uncorrected formation energy is 0.724 eV per atom.

2.
The following is a PBE calculation of a relaxed CoSiBr2 crystal, from the Alexandria database.

a = 8.752 Å, b = 8.752 Å, c = 8.752 Å
α = 22.69°, β = 22.69°, γ = 22.69°
Atoms (fractional coordinates):
Co: 0.000 0.000 0.000
Si: 0.500 0.500 0.500
Br: 0.271 0.271 0.271
Br: 0.729 0.729 0.729

Computed properties:
As for the energy above the most stable polymorph in this dataset: 0.4360 eV per atom. The total moment comes out at 0.60 μB/atom. Its space group is R-3m. The uncorrected formation energy is 0.402 eV per atom.

3.
The following is a PBE calculation of a relaxed Co2SiBr crystal, from the Alexandria database.

a = 4.290 Å, b = 4.290 Å, c = 2.923 Å
α = 90.00°, β = 90.00°, γ = 90.00°
Atoms (fractional coordinates):
Co: 0.000 0.500 0.000
Co: 0.500 0.000 0.000
Si: 0.000 0.000 0.500
Br: 0.500 0.500 0.500

Computed properties:
As for the energy above the most stable polymorph in this dataset: 0.4968 eV per atom. The total moment comes out at 0.47 μB/atom. Its space group is P4/mmm. The uncorrected formation energy is 0.550 eV per atom.

4.
The following is a PBE calculation of a relaxed Co3SiBr crystal, from the Alexandria database.

a = 4.333 Å, b = 4.333 Å, c = 4.333 Å
α = 90.00°, β = 90.00°, γ = 90.00°
Atoms (fractional coordinates):
Co: 0.000 0.000 0.500
Co: 0.000 0.500 0.000
Co: 0.500 0.000 0.000
Si: 0.500 0.500 0.500
Br: 0.000 0.000 0.000

Computed properties:
As for the energy above the most stable polymorph in this dataset: 0.4740 eV per atom. The total moment comes out at 0.41 μB/atom. Its space group is Pm-3m. The uncorrected formation energy is 1.277 eV per atom.

5.
The following is a PBE calculation of a relaxed Co2SiBr crystal, from the Alexandria database.

a = 4.226 Å, b = 4.226 Å, c = 4.226 Å
α = 60.00°, β = 60.00°, γ = 60.00°
Atoms (fractional coordinates):
Co: 0.250 0.250 0.250
Co: 0.750 0.750 0.750
Si: 0.000 0.000 0.000
Br: 0.500 0.500 0.500

Computed properties:
As for the energy above the most stable polymorph in this dataset: 0.5200 eV per atom. The total moment comes out at 0.25 μB/atom. Its space group is Fm-3m. The uncorrected formation energy is 0.573 eV per atom.

6.
The following is a PBE calculation of a relaxed CoSiBr2 crystal, from the Alexandria database.

a = 8.191 Å, b = 8.191 Å, c = 8.191 Å
α = 156.09°, β = 154.23°, γ = 35.44°
Atoms (fractional coordinates):
Co: 0.000 0.000 0.000
Si: 0.500 0.500 0.000
Br: 0.133 0.633 0.500
Br: 0.867 0.367 0.500

Computed properties:
As for the energy above the most stable polymorph in this dataset: 0.1053 eV per atom. The total moment comes out at 0.41 μB/atom. Its space group is Immm. The uncorrected formation energy is 0.071 eV per atom.

7.
The following is a PBE calculation of a relaxed CoSi2Br crystal, from the Alexandria database.

a = 4.480 Å, b = 4.480 Å, c = 4.480 Å
α = 60.00°, β = 60.00°, γ = 60.00°
Atoms (fractional coordinates):
Co: 0.000 0.000 0.000
Si: 0.250 0.250 0.250
Si: 0.500 0.500 0.500
Br: 0.750 0.750 0.750

Computed properties:
As for the energy above the most stable polymorph in this dataset: 0.6908 eV per atom. The total moment comes out at 0.37 μB/atom. Its space group is F-43m. The uncorrected formation energy is 0.816 eV per atom.

8.
The following is a PBE calculation of a relaxed CoSiBr2 crystal, from the Alexandria database.

a = 4.828 Å, b = 4.828 Å, c = 4.828 Å
α = 60.00°, β = 60.00°, γ = 60.00°
Atoms (fractional coordinates):
Co: 0.000 0.000 0.000
Si: 0.750 0.750 0.750
Br: 0.250 0.250 0.250
Br: 0.500 0.500 0.500

Computed properties:
As for the energy above the most stable polymorph in this dataset: 0.9751 eV per atom. The total moment comes out at 0.27 μB/atom. Its space group is F-43m. The uncorrected formation energy is 0.941 eV per atom.

9.
The following is a PBE calculation of a relaxed CoSi2Br crystal, from the Alexandria database.

a = 3.020 Å, b = 3.180 Å, c = 7.515 Å
α = 90.00°, β = 90.00°, γ = 90.00°
Atoms (fractional coordinates):
Co: 0.000 0.000 0.000
Si: 0.000 0.000 0.682
Si: 0.500 0.500 0.874
Br: 0.500 0.500 0.242

Computed properties:
As for the energy above the most stable polymorph in this dataset: 0.1554 eV per atom. The total moment comes out at 0.00 μB/atom. Its space group is Pmm2. The uncorrected formation energy is 0.280 eV per atom.

10.
The following is a PBE calculation of a relaxed CoSi2Br crystal, from the Alexandria database.

a = 4.532 Å, b = 4.532 Å, c = 4.532 Å
α = 60.00°, β = 60.00°, γ = 60.00°
Atoms (fractional coordinates):
Co: 0.000 0.000 0.000
Si: 0.250 0.250 0.250
Si: 0.750 0.750 0.750
Br: 0.500 0.500 0.500

Computed properties:
As for the energy above the most stable polymorph in this dataset: 0.8564 eV per atom. The total moment comes out at 0.28 μB/atom. Its space group is Fm-3m. The uncorrected formation energy is 0.981 eV per atom.

11.
The following is a PBE calculation of a relaxed Co2SiBr crystal, from the Alexandria database.

a = 4.997 Å, b = 4.997 Å, c = 4.997 Å
α = 147.39°, β = 113.13°, γ = 76.40°
Atoms (fractional coordinates):
Co: 0.231 0.231 0.000
Co: 0.769 0.769 0.000
Si: 0.000 0.500 0.500
Br: 0.500 0.000 0.500

Computed properties:
As for the energy above the most stable polymorph in this dataset: 0.4845 eV per atom. The total moment comes out at 0.41 μB/atom. Its space group is Immm. The uncorrected formation energy is 0.538 eV per atom.

12.
The following is a PBE calculation of a relaxed Co2SiBr crystal, from the Alexandria database.

a = 6.393 Å, b = 6.393 Å, c = 6.393 Å
α = 153.06°, β = 149.36°, γ = 41.25°
Atoms (fractional coordinates):
Co: 0.000 0.000 0.000
Co: 0.822 0.322 0.500
Si: 0.375 0.875 0.500
Br: 0.627 0.627 0.000

Computed properties:
As for the energy above the most stable polymorph in this dataset: 0.0982 eV per atom. The total moment comes out at 0.36 μB/atom. Its space group is Imm2. The uncorrected formation energy is 0.152 eV per atom.

13.
The following is a PBE calculation of a relaxed CoSiBr2 crystal, from the Alexandria database.

a = 8.973 Å, b = 8.973 Å, c = 8.973 Å
α = 22.01°, β = 22.01°, γ = 22.01°
Atoms (fractional coordinates):
Co: 0.000 0.000 0.000
Si: 0.285 0.285 0.285
Br: 0.546 0.546 0.546
Br: 0.724 0.724 0.724

Computed properties:
As for the energy above the most stable polymorph in this dataset: 0.0102 eV per atom. The total moment comes out at 0.26 μB/atom. Its space group is R3m. The uncorrected formation energy is -0.024 eV per atom.

14.
The following is a PBE calculation of a relaxed CoSi2Br crystal, from the Alexandria database.

a = 2.951 Å, b = 2.951 Å, c = 7.291 Å
α = 90.00°, β = 90.00°, γ = 90.00°
Atoms (fractional coordinates):
Co: 0.000 0.000 0.000
Si: 0.500 0.500 0.180
Si: 0.500 0.500 0.820
Br: 0.000 0.000 0.500

Computed properties:
As for the energy above the most stable polymorph in this dataset: 0.1660 eV per atom. The total moment comes out at 0.00 μB/atom. Its space group is P4/mmm. The uncorrected formation energy is 0.291 eV per atom.

15.
The following is a PBE calculation of a relaxed CoSiBr2 crystal, from the Alexandria database.

a = 3.543 Å, b = 3.543 Å, c = 8.614 Å
α = 90.00°, β = 90.00°, γ = 123.76°
Atoms (fractional coordinates):
Co: 0.000 0.000 0.000
Si: 0.000 0.000 0.500
Br: 0.500 0.500 0.208
Br: 0.500 0.500 0.792

Computed properties:
As for the energy above the most stable polymorph in this dataset: 0.5633 eV per atom. The total moment comes out at 0.50 μB/atom. Its space group is Cmmm. The uncorrected formation energy is 0.529 eV per atom.